1.
{
  "formula": "BaZnCuSi2",
  "functional": "PBE",
  "state": "optimized geometry",
  "lattice_angstrom": [[-2.200, 2.200, 5.145], [2.200, -2.200, 5.145], [2.200, 2.200, -5.145]],
  "species": ["Ba", "Zn", "Cu", "Si", "Si"],
  "fractional_positions": [[0.000, 0.000, 0.000], [0.750, 0.250, 0.500], [0.250, 0.750, 0.500], [0.378, 0.378, 0.000], [0.622, 0.622, 0.000]],
  "relative_energy_ev_per_atom": 0.0000,
  "e_tot_ev_per_atom": -3.899,
  "e_form_raw_ev_per_atom": -0.27
}

---

2.
{
  "formula": "Ac4LaRh4",
  "functional": "PBE",
  "state": "optimized geometry",
  "lattice_angstrom": [[7.037, -2.148, 0.000], [7.037, 2.148, 0.000], [-5.159, 0.000, 9.005]],
  "species": ["Ac", "Ac", "Ac", "Ac", "La", "Rh", "Rh", "Rh", "Rh"],
  "fractional_positions": [[0.108, 0.108, 0.393], [0.300, 0.300, 0.192], [0.700, 0.700, 0.808], [0.892, 0.892, 0.607], [0.500, 0.500, 0.000], [0.091, 0.091, 0.891], [0.290, 0.290, 0.698], [0.710, 0.710, 0.302], [0.909, 0.909, 0.109]],
  "e_tot_ev_per_atom": -6.281
}

---

3.
{
  "formula": "BeFe2P",
  "functional": "PBE",
  "state": "optimized geometry",
  "lattice_angstrom": [[0.000, 2.743, 2.743], [2.743, 0.000, 2.743], [2.743, 2.743, 0.000]],
  "species": ["Be", "Fe", "Fe", "P"],
  "fractional_positions": [[0.000, 0.000, 0.000], [0.250, 0.250, 0.250], [0.500, 0.500, 0.500], [0.750, 0.750, 0.750]],
  "relative_energy_ev_per_atom": 0.4281,
  "e_tot_ev_per_atom": -6.530
}

---

4.
{
  "formula": "AgSn4Pd15",
  "functional": "PBE",
  "state": "optimized geometry",
  "lattice_angstrom": [[4.043, 0.000, 0.000], [0.000, 4.043, 0.000], [0.000, 0.000, 20.056]],
  "species": ["Ag", "Sn", "Sn", "Sn", "Sn", "Pd", "Pd", "Pd", "Pd", "Pd", "Pd", "Pd", "Pd", "Pd", "Pd", "Pd", "Pd", "Pd", "Pd", "Pd"],
  "fractional_positions": [[0.000, 0.000, 0.000], [0.000, 0.000, 0.196], [0.000, 0.000, 0.399], [0.000, 0.000, 0.601], [0.000, 0.000, 0.804], [0.000, 0.500, 0.100], [0.000, 0.500, 0.299], [0.000, 0.500, 0.500], [0.000, 0.500, 0.701], [0.000, 0.500, 0.900], [0.500, 0.000, 0.100], [0.500, 0.000, 0.299], [0.500, 0.000, 0.500], [0.500, 0.000, 0.701], [0.500, 0.000, 0.900], [0.500, 0.500, 0.000], [0.500, 0.500, 0.200], [0.500, 0.500, 0.400], [0.500, 0.500, 0.600], [0.500, 0.500, 0.800]],
  "e_tot_ev_per_atom": -5.234
}